[1]
VASP calculation (PBE) on TbAlOs after structural relaxation.

Calculated values
- Space group: P-6m2 (187)
- Formation energy: -304 meV/atom
- Total moment: 0.00 μB/f.u.
- Calculated volume: 19.98 A^3/atom

a b c (Å): 3.656 4.351 4.351
angles (deg): 120.00 90.00 90.00
Atoms (fractional coordinates):
Tb (0.667, 0.667, 0.333)
Os (0.167, 0.333, 0.667)
Al (0.167, 0.000, 0.000)

[2]
VASP calculation (PBE) on PmNd2HoAs4 after structural relaxation.

Calculated values
- Space group: P2/m (10)
- Formation energy: -1513 meV/atom
- Total moment: 0.00 μB/f.u.
- Calculated volume: 26.61 A^3/atom

a b c (Å): 4.225 7.310 7.311
angles (deg): 70.53 90.00 90.00
Atoms (fractional coordinates):
Pm (0.500, 0.500, 0.000)
Nd (0.000, 0.000, 0.000)
Nd (0.500, 0.000, 0.500)
Ho (0.000, 0.500, 0.500)
As (0.000, 0.745, 0.748)
As (0.000, 0.255, 0.252)
As (0.500, 0.742, 0.256)
As (0.500, 0.258, 0.744)

[3]
VASP calculation (PBE) on InH3S after structural relaxation.

Calculated values
- Space group: Pm-3m (221)
- E: -2.79 eV per atom
- Total moment: 0.00 μB/f.u.
- Calculated volume: 10.98 A^3/atom

a b c (Å): 3.801 3.801 3.801
angles (deg): 90.00 90.00 90.00
Atoms (fractional coordinates):
H (0.000, 0.500, 0.000)
H (0.000, 0.000, 0.500)
H (0.500, 0.000, 0.000)
S (0.000, 0.000, 0.000)
In (0.500, 0.500, 0.500)

[4]
VASP calculation (PBE) on Ba3Ce2PuO9 after structural relaxation.

Calculated values
- Space group: P-3m1 (164)
- Raw formation energy: -3076 meV/atom
- Total moment: 4.12 μB/f.u.
- Calculated volume: 17.65 A^3/atom

a b c (Å): 6.297 6.297 7.712
angles (deg): 90.00 90.00 120.00
Each line ends with the local moment (μB).
Atoms (fractional coordinates):
Ba (0.333, 0.667, 0.668)  0.01
Ba (0.000, 0.000, 0.000)  0.01
Ba (0.667, 0.333, 0.332)  0.01
Ce (0.333, 0.667, 0.169)  0.16
Ce (0.667, 0.333, 0.831)  0.16
Pu (0.000, 0.000, 0.500)  4.00
O (0.836, 0.164, 0.664)  -0.05
O (0.836, 0.672, 0.664)  -0.05
O (0.328, 0.164, 0.664)  -0.05
O (0.672, 0.836, 0.336)  -0.05
O (0.164, 0.328, 0.336)  -0.05
O (0.164, 0.836, 0.336)  -0.05
O (0.500, 0.000, 0.000)  -0.01
O (0.000, 0.500, 0.000)  -0.01
O (0.500, 0.500, 0.000)  -0.01

[5]
VASP calculation (PBE) on LaMg9Cu2 after structural relaxation.

Calculated values
- Space group: I4_1/amd (141)
- Formation energy: -86 meV/atom
- Total moment: 0.00 μB/f.u.
- Calculated volume: 21.79 A^3/atom

a b c (Å): 7.520 9.148 9.148
angles (deg): 80.28 65.73 65.73
Atoms (fractional coordinates):
La (0.500, 0.000, 0.000)
La (0.250, 0.500, 0.500)
Mg (0.750, 0.500, 0.500)
Mg (0.000, 0.000, 0.000)
Mg (0.011, 0.924, 0.680)
Mg (0.615, 0.076, 0.320)
Mg (0.685, 0.180, 0.576)
Mg (0.441, 0.820, 0.424)
Mg (0.739, 0.820, 0.576)
Mg (0.135, 0.180, 0.424)
Mg (0.065, 0.924, 0.320)
Mg (0.309, 0.076, 0.680)
Mg (0.739, 0.576, 0.820)
Mg (0.135, 0.424, 0.180)
Mg (0.065, 0.320, 0.924)
Mg (0.309, 0.680, 0.076)
Mg (0.011, 0.680, 0.924)
Mg (0.615, 0.320, 0.076)
Mg (0.685, 0.576, 0.180)
Mg (0.441, 0.424, 0.820)
Cu (0.875, 0.250, 0.750)
Cu (0.875, 0.750, 0.250)
Cu (0.875, 0.250, 0.250)
Cu (0.375, 0.750, 0.750)

[6]
VASP calculation (PBE) on HfSc3Br after structural relaxation.

Calculated values
- Space group: Pm-3m (221)
- Raw formation energy: 711 meV/atom
- Total moment: 0.00 μB/f.u.
- Calculated volume: 30.62 A^3/atom

a b c (Å): 5.349 5.349 5.349
angles (deg): 90.00 90.00 90.00
Atoms (fractional coordinates):
Sc (0.000, 0.500, 0.000)
Sc (0.000, 0.000, 0.500)
Sc (0.500, 0.000, 0.000)
Hf (0.000, 0.000, 0.000)
Br (0.500, 0.500, 0.500)